# 1
# SrZn2HCl

A relaxed SrZn2HCl crystal (PBE-GGA, the Alexandria database).

## Properties
As for the total energy: -1.82 eV per atom. As for the symmetry: P4/mmm, No. 123. The density of states at the Fermi level is 0.0 states/eV per cell.

Cell lengths 6.3038, 6.3038, 4.4185 Å; angles 90.00, 90.00, 90.00 degrees
With the nearest neighbours (Å) after each atom.
Fractional coordinates of all 5 atoms:
1 Sr 0.0000 0.0000 0.0000  2 H 2.21
2 Zn 0.0000 0.5000 0.0000  2 Sr 3.15
3 Zn 0.5000 0.0000 0.0000  2 Sr 3.15
4 H 0.0000 0.0000 0.5000  2 Sr 2.21
5 Cl 0.5000 0.5000 0.5000  8 Zn 3.85



# 2
# RbSn2Pt

A relaxed RbSn2Pt crystal (PBE-GGA, the Alexandria database).

## Properties
For the formation energy, the calculation gives 0.139 eV per atom. As for the total energy: -3.61 eV per atom. As for the symmetry: Fm-3m, No. 225. The density of states at the Fermi level is 9.9 states/eV per cell.

Cell lengths 7.3098, 7.3098, 7.3098 Å; angles 90.00, 90.00, 90.00 degrees
With the nearest neighbours (Å) after each atom.
Fractional coordinates of all 16 atoms:
1 Rb 0.0000 0.0000 0.0000  8 Sn 3.17
2 Rb 0.0000 0.5000 0.5000  8 Sn 3.17
3 Rb 0.5000 0.0000 0.5000  8 Sn 3.17
4 Rb 0.5000 0.5000 0.0000  8 Sn 3.17
5 Sn 0.2500 0.2500 0.2500  4 Rb 3.17, 4 Pt 3.17
6 Sn 0.2500 0.2500 0.7500  4 Rb 3.17, 4 Pt 3.17
7 Sn 0.2500 0.7500 0.2500  4 Rb 3.17, 4 Pt 3.17
8 Sn 0.2500 0.7500 0.7500  4 Rb 3.17, 4 Pt 3.17
9 Sn 0.7500 0.2500 0.2500  4 Rb 3.17, 4 Pt 3.17
10 Sn 0.7500 0.2500 0.7500  4 Rb 3.17, 4 Pt 3.17
11 Sn 0.7500 0.7500 0.2500  4 Rb 3.17, 4 Pt 3.17
12 Sn 0.7500 0.7500 0.7500  4 Rb 3.17, 4 Pt 3.17
13 Pt 0.0000 0.0000 0.5000  8 Sn 3.17
14 Pt 0.0000 0.5000 0.0000  8 Sn 3.17
15 Pt 0.5000 0.0000 0.0000  8 Sn 3.17
16 Pt 0.5000 0.5000 0.5000  8 Sn 3.17



# 3
# LaCd2In2

A relaxed LaCd2In2 crystal (PBE-GGA, the Alexandria database).

## Properties
For the formation energy, the calculation gives -0.196 eV per atom. As for the total energy: -2.64 eV per atom. As for the symmetry: P4/mbm, No. 127. The density of states at the Fermi level is 5.2 states/eV per cell.

Cell lengths 8.7362, 8.7362, 3.4641 Å; angles 90.00, 90.00, 90.00 degrees
With the nearest neighbours (Å) after each atom.
Fractional coordinates of all 10 atoms:
1 La 0.0000 0.0000 0.0000  2 La 3.46, 4 Cd 3.47, 8 In 3.66
2 La 0.5000 0.5000 0.0000  2 La 3.46, 4 Cd 3.47, 8 In 3.66
3 Cd 0.1220 0.3780 0.0000  1 Cd 3.01, 6 In 3.03-3.17
4 Cd 0.3780 0.8780 0.0000  1 Cd 3.01, 6 In 3.03-3.17
5 Cd 0.6220 0.1220 0.0000  1 Cd 3.01, 6 In 3.03-3.17
6 Cd 0.8780 0.6220 0.0000  1 Cd 3.01, 6 In 3.03-3.17
7 In 0.1767 0.6767 0.5000  6 Cd 3.03-3.17
8 In 0.3233 0.1767 0.5000  6 Cd 3.03-3.17
9 In 0.6767 0.8233 0.5000  6 Cd 3.03-3.17
10 In 0.8233 0.3233 0.5000  6 Cd 3.03-3.17



# 4
# AcMg3Ag3

A relaxed AcMg3Ag3 crystal (PBE-GGA, the Alexandria database).

## Properties
For the formation energy, the calculation gives -0.178 eV per atom. As for the total energy: -2.67 eV per atom. As for the symmetry: P6_3/m, No. 176. The density of states at the Fermi level is 6.5 states/eV per cell.

Cell lengths 9.1347, 9.1347, 4.6903 Å; angles 90.00, 90.00, 120.00 degrees
With the nearest neighbours (Å) after each atom.
Fractional coordinates of all 14 atoms:
1 Ac 0.3333 0.6667 0.2500  9 Ag 3.18-3.32
2 Ac 0.6667 0.3333 0.7500  9 Ag 3.18-3.32
3 Mg 0.0278 0.7736 0.7500  3 Ag 2.81-2.89
4 Mg 0.2264 0.2542 0.7500  3 Ag 2.81-2.89
5 Mg 0.2542 0.0278 0.2500  3 Ag 2.81-2.89
6 Mg 0.7458 0.9722 0.7500  3 Ag 2.81-2.89
7 Mg 0.7736 0.7458 0.2500  3 Ag 2.81-2.89
8 Mg 0.9722 0.2264 0.2500  3 Ag 2.81-2.89
9 Ag 0.0546 0.4376 0.7500  3 Mg 2.81-2.89, 2 Ag 2.99
10 Ag 0.3829 0.9454 0.7500  3 Mg 2.81-2.89, 2 Ag 2.99
11 Ag 0.4376 0.3829 0.2500  3 Mg 2.81-2.89, 2 Ag 2.99
12 Ag 0.5624 0.6171 0.7500  3 Mg 2.81-2.89, 2 Ag 2.99
13 Ag 0.6171 0.0546 0.2500  3 Mg 2.81-2.89, 2 Ag 2.99
14 Ag 0.9454 0.5624 0.2500  3 Mg 2.81-2.89, 2 Ag 2.99



# 5
# TlCr2I

A relaxed TlCr2I crystal (PBE-GGA, the Alexandria database).

## Properties
As for the total energy: -4.95 eV per atom. As for the symmetry: Fm-3m, No. 225. The density of states at the Fermi level is 11.5 states/eV per cell. As for the uncorrected formation energy: 0.84 eV per atom.

Cell lengths 7.1964, 7.1964, 7.1964 Å; angles 90.00, 90.00, 90.00 degrees
With the nearest neighbours (Å) after each atom.
Fractional coordinates of all 16 atoms:
1 Tl 0.0000 0.0000 0.0000  8 Cr 3.12
2 Tl 0.0000 0.5000 0.5000  8 Cr 3.12
3 Tl 0.5000 0.0000 0.5000  8 Cr 3.12
4 Tl 0.5000 0.5000 0.0000  8 Cr 3.12
5 Cr 0.2500 0.2500 0.2500  4 Tl 3.12, 4 I 3.12
6 Cr 0.2500 0.2500 0.7500  4 Tl 3.12, 4 I 3.12
7 Cr 0.2500 0.7500 0.2500  4 Tl 3.12, 4 I 3.12
8 Cr 0.2500 0.7500 0.7500  4 Tl 3.12, 4 I 3.12
9 Cr 0.7500 0.2500 0.2500  4 Tl 3.12, 4 I 3.12
10 Cr 0.7500 0.2500 0.7500  4 Tl 3.12, 4 I 3.12
11 Cr 0.7500 0.7500 0.2500  4 Tl 3.12, 4 I 3.12
12 Cr 0.7500 0.7500 0.7500  4 Tl 3.12, 4 I 3.12
13 I 0.0000 0.0000 0.5000  8 Cr 3.12
14 I 0.0000 0.5000 0.0000  8 Cr 3.12
15 I 0.5000 0.0000 0.0000  8 Cr 3.12
16 I 0.5000 0.5000 0.5000  8 Cr 3.12



# 6
# La2BO

A relaxed La2BO crystal (PBE-GGA, the Alexandria database).

## Properties
As for the total energy: -6.50 eV per atom. As for the symmetry: I-42d, No. 122. The density of states at the Fermi level is 10.2 states/eV per cell. As for the uncorrected formation energy: -1.13 eV per atom.

Cell lengths 5.6822, 5.6822, 12.0890 Å; angles 90.00, 90.00, 90.00 degrees
With the nearest neighbours (Å) after each atom.
Fractional coordinates of all 16 atoms:
1 La 0.2187 0.2500 0.1250  2 O 2.42, 2 B 2.62
2 La 0.2500 0.7187 0.3750  2 O 2.42, 2 B 2.62
3 La 0.2500 0.7813 0.8750  2 O 2.42, 2 B 2.62
4 La 0.2813 0.2500 0.6250  2 O 2.42, 2 B 2.62
5 La 0.7187 0.7500 0.6250  2 O 2.42, 2 B 2.62
6 La 0.7500 0.2187 0.8750  2 O 2.42, 2 B 2.62
7 La 0.7500 0.2813 0.3750  2 O 2.42, 2 B 2.62
8 La 0.7813 0.7500 0.1250  2 O 2.42, 2 B 2.62
9 B 0.0000 0.0000 0.5000  4 La 2.62
10 B 0.0000 0.5000 0.7500  4 La 2.62
11 B 0.5000 0.0000 0.2500  4 La 2.62
12 B 0.5000 0.5000 0.0000  4 La 2.62
13 O 0.0000 0.0000 0.0000  4 La 2.42
14 O 0.0000 0.5000 0.2500  4 La 2.42
15 O 0.5000 0.0000 0.7500  4 La 2.42
16 O 0.5000 0.5000 0.5000  4 La 2.42